Entry 1:
First-principles (GGA-PBE) data for an optimized crystal structure of ZnNiRu4, as listed in Alexandria.

Cell and atoms, written as POSCAR:
```
ZnNiRu4
1.0
2.114 -4.181 -1.886
2.133 -3.369 3.099
-2.189 -4.490 0.740
Zn Ni Ru
1 1 4
direct
0.750 0.750 0.750
0.000 0.000 0.000
0.375 0.876 0.375
0.876 0.375 0.375
0.375 0.375 0.876
0.375 0.375 0.375
```

Calculated values
Its formation energy is 61.9 kJ per mole of atoms.

=====

Entry 2:
First-principles (GGA-PBE) data for an optimized crystal structure of KZrBOs2, as listed in Alexandria.

Cell and atoms, written as POSCAR:
```
KZrBOs2
1.0
5.030 0.000 0.000
0.000 4.804 0.000
0.000 0.000 5.030
K B Os Zr
1 1 2 1
direct
0.500 0.500 0.500
0.000 0.500 0.000
0.000 0.000 0.500
0.500 0.000 0.000
0.000 0.000 0.000
```

Calculated values
Its formation energy is 197.9 kJ per mole of atoms.

=====

Entry 3:
First-principles (GGA-PBE) data for an optimized crystal structure of LaSmPI, as listed in Alexandria.

Cell and atoms, written as POSCAR:
```
LaSmPI
1.0
-3.294 2.374 -1.042
0.815 -3.510 -2.143
-2.567 -4.473 6.352
La Sm P I
1 1 1 1
direct
0.507 0.151 0.674
0.098 0.947 0.061
0.311 0.553 0.880
0.962 0.379 0.356
```

Calculated values
The value obtained for the uncorrected formation energy is -1402 meV/atom.

=====

Entry 4:
First-principles (GGA-PBE) data for an optimized crystal structure of TaBeAlSn2, as listed in Alexandria.

Cell and atoms, written as POSCAR:
```
TaBeAlSn2
1.0
5.365 0.000 0.000
0.000 4.709 0.000
0.000 0.000 5.365
Be Al Sn Ta
1 1 2 1
direct
0.000 0.500 0.000
0.500 0.500 0.500
0.000 0.000 0.500
0.500 0.000 0.000
0.000 0.000 0.000
```

Calculated values
Its formation energy is 85.8 kJ per mole of atoms.

=====

Entry 5:
First-principles (GGA-PBE) data for an optimized crystal structure of K2Al, as listed in Alexandria.

Cell and atoms, written as POSCAR:
```
K2Al
1.0
3.141 -5.440 0.000
3.141 5.440 0.000
0.000 0.000 7.652
K Al
4 2
direct
0.000 0.000 0.000
0.000 0.000 0.500
0.333 0.667 0.750
0.667 0.333 0.250
0.333 0.667 0.250
0.667 0.333 0.750
```

Calculated values
Its formation energy is 39.0 kJ per mole of atoms. For the excess energy over the best structure of this formula in the dataset, the calculation gives 266 meV/atom.

=====

Entry 6:
First-principles (GGA-PBE) data for an optimized crystal structure of ZnCu6Sn, as listed in Alexandria.

Cell and atoms, written as POSCAR:
```
ZnCu6Sn
1.0
-3.342 0.044 -5.642
1.459 -6.231 1.431
-9.051 -0.890 5.355
Zn Cu Sn
4 24 4
direct
0.751 0.249 0.500
0.249 0.751 0.500
0.000 0.000 0.744
0.000 0.000 0.256
0.757 0.243 0.741
0.122 0.367 0.869
0.878 0.633 0.869
0.243 0.757 0.741
0.633 0.878 0.869
0.367 0.122 0.869
0.500 0.500 0.500
0.882 0.628 0.620
0.628 0.882 0.620
0.757 0.243 0.259
0.118 0.372 0.380
0.882 0.628 0.380
0.243 0.757 0.259
0.628 0.882 0.380
0.372 0.118 0.380
0.500 0.500 0.000
0.878 0.633 0.131
0.633 0.878 0.131
0.000 0.000 0.500
0.372 0.118 0.620
0.118 0.372 0.620
0.000 0.000 0.000
0.367 0.122 0.131
0.122 0.367 0.131
0.750 0.250 0.000
0.250 0.750 0.000
0.500 0.500 0.745
0.500 0.500 0.255
```

Calculated values
Its formation energy is -0.6 kJ per mole of atoms. For the excess energy over the best structure of this formula in the dataset, the calculation gives 0 meV/atom.

=====

Entry 7:
First-principles (GGA-PBE) data for an optimized crystal structure of Ge2P2Pb, as listed in Alexandria.

Cell and atoms, written as POSCAR:
```
Ge2P2Pb
1.0
-4.003 -1.577 -0.426
0.721 -0.693 -4.206
0.415 -6.696 -1.048
Pb P Ge
1 2 2
direct
0.000 0.000 0.000
0.363 0.363 0.275
0.637 0.637 0.725
0.750 0.250 0.500
0.250 0.750 0.500
```

Calculated values
Its formation energy is 30.3 kJ per mole of atoms. For the excess energy over the best structure of this formula in the dataset, the calculation gives 0 meV/atom.

=====

Entry 8:
First-principles (GGA-PBE) data for an optimized crystal structure of BaRhSe2, as listed in Alexandria.

Cell and atoms, written as POSCAR:
```
BaRhSe2
1.0
-1.830 2.641 1.354
-1.390 0.642 -3.132
-6.662 -5.548 1.818
Ba Rh Se
1 1 2
direct
0.000 0.000 0.511
0.500 0.500 0.811
0.000 0.000 0.898
0.500 0.500 0.281
```

Calculated values
The value obtained for the uncorrected formation energy is -440 meV/atom. For the excess energy over the best structure of this formula in the dataset, the calculation gives 517 meV/atom.

=====

Entry 9:
First-principles (GGA-PBE) data for an optimized crystal structure of NaSi3Ni3, as listed in Alexandria.

Cell and atoms, written as POSCAR:
```
NaSi3Ni3
1.0
6.307 0.000 0.000
0.000 6.307 0.000
0.000 0.000 6.307
Ni Si Na
6 6 2
direct
0.000 0.250 0.500
0.000 0.750 0.500
0.500 0.000 0.750
0.750 0.500 0.000
0.500 0.000 0.250
0.250 0.500 0.000
0.250 0.000 0.500
0.000 0.500 0.250
0.500 0.750 0.000
0.750 0.000 0.500
0.000 0.500 0.750
0.500 0.250 0.000
0.500 0.500 0.500
0.000 0.000 0.000
```

Calculated values
The value obtained for the uncorrected formation energy is -4 meV/atom.

=====

Entry 10:
First-principles (GGA-PBE) data for an optimized crystal structure of Ce5Pm, as listed in Alexandria.

Cell and atoms, written as POSCAR:
```
Ce5Pm
1.0
4.787 0.000 0.000
0.000 4.797 0.000
0.000 -2.399 7.239
Ce Pm
5 1
direct
0.000 0.671 0.341
0.000 0.329 0.659
0.500 0.500 0.000
0.500 0.169 0.338
0.500 0.831 0.662
0.000 0.000 0.000
```

Calculated values
Its formation energy is 7.1 kJ per mole of atoms.

=====

Entry 11:
First-principles (GGA-PBE) data for an optimized crystal structure of ThGe2Rh6, as listed in Alexandria.

Cell and atoms, written as POSCAR:
```
ThGe2Rh6
1.0
7.831 0.000 0.000
3.915 6.782 0.000
3.915 2.261 6.394
Th Ge Rh
2 4 12
direct
0.500 0.500 0.500
0.750 0.750 0.750
0.125 0.125 0.125
0.125 0.625 0.125
0.125 0.125 0.625
0.625 0.125 0.125
0.256 0.256 0.744
0.744 0.744 0.256
0.256 0.744 0.256
0.256 0.744 0.744
0.506 0.506 0.994
0.506 0.994 0.994
0.744 0.256 0.744
0.994 0.994 0.506
0.506 0.994 0.506
0.994 0.506 0.506
0.744 0.256 0.256
0.994 0.506 0.994
```

Calculated values
Its formation energy is -19.1 kJ per mole of atoms.

=====

Entry 12:
First-principles (GGA-PBE) data for an optimized crystal structure of LiCa2Nd, as listed in Alexandria.

Cell and atoms, written as POSCAR:
```
LiCa2Nd
1.0
-2.565 2.731 0.213
-3.644 -0.863 0.242
-1.267 0.475 11.716
Li Ca Nd
1 2 1
direct
0.666 0.666 0.001
0.079 0.079 0.764
0.255 0.255 0.236
0.500 0.500 0.499
```

Calculated values
Its formation energy is 9.0 kJ per mole of atoms. For the excess energy over the best structure of this formula in the dataset, the calculation gives 15 meV/atom.

=====

Values of mass density, in order: 9634, 7124, 6243, 5567, 1336, 8695, 6072, 6141, 3751, 8447, 9730, 2717, all in kg/m3.
Values of DFT total energy, in order: -40.31, -28.53, -22.22, -22.88, -9.45, -119.63, -22.19, -18.00, -69.92, -33.98, -125.09, -10.31, all in eV per cell.